# 1
VASP calculation (PBE) on a relaxed Co15Te crystal.

Structure (extended XYZ):
```
32
Lattice="-1.032 -3.044 -2.840 -21.175 -13.478 22.144 -2.633 3.351 -0.479" Properties=species:S:1:pos:R:3 pbc="T T T"
Co -16.861 -6.963 15.209
Co -6.679 -4.189 4.218
Co -8.250 -5.188 5.860
Co -15.306 -5.973 13.582
Co -16.590 -7.984 12.966
Co -17.547 -11.106 15.583
Co -13.195 -7.142 12.991
Co -16.328 -9.136 16.267
Co -15.027 -6.989 11.331
Co -10.076 -5.157 9.729
Co -9.812 -6.183 7.494
Co -13.468 -5.996 9.701
Co -8.502 -4.155 8.083
Te -18.702 -8.135 17.134
Co -10.613 -2.985 8.674
Co -9.051 -1.991 7.041
Co -6.947 -3.165 6.457
Co -12.929 -8.167 10.753
Co -7.480 -0.991 5.398
Co -18.160 -8.983 14.608
Co -13.732 -4.971 11.937
Co -10.356 -4.016 6.447
Co -14.757 -8.137 14.625
Co -11.911 -5.006 8.073
Co -14.483 -9.156 12.379
Te -5.105 -1.993 4.531
Co -7.293 -2.066 3.243
Co -11.372 -7.176 9.125
Co -16.024 -10.137 13.990
Co -12.175 -3.980 10.308
Co -8.816 -3.035 4.836
Co -11.633 -6.148 11.358
```

Output
crystal system: monoclinic
space group: P2/c
offset from the most stable computed form: 0.000 eV per atom

***

# 2
VASP calculation (PBE) on a relaxed CoTe crystal.

Structure (extended XYZ):
```
6
Lattice="-3.733 -1.561 -4.596 5.601 -2.472 -0.087 -2.595 0.659 5.506" Properties=species:S:1:pos:R:3 pbc="T T T"
Te -1.490 -1.459 -1.367
Co -0.096 -3.492 -0.506
Te 1.742 -1.775 0.194
Co 0.176 -2.960 1.915
Co -2.061 -2.742 0.835
Te -1.097 -0.691 2.131
```

Output
crystal system: trigonal
final energy: -31.13 eV/cell
space group: R3m

***

# 3
VASP calculation (PBE) on a relaxed Co3Te2 crystal.

Structure (extended XYZ):
```
5
Lattice="4.672 -3.525 6.500 3.815 0.784 7.831 -6.181 0.671 -6.152" Properties=species:S:1:pos:R:3 pbc="T T T"
Te 7.228 -2.334 12.206
Co 0.000 0.000 0.000
Co 4.858 -1.569 8.204
Te 1.259 -0.406 2.125
Co 3.629 -1.172 6.127
```

Output
crystal system: tetragonal
final energy: -26.77 eV/cell
space group: I4/mmm

***

# 4
VASP calculation (PBE) on a relaxed CoTe crystal.

Structure (extended XYZ):
```
4
Lattice="-1.923 -2.739 1.997 3.821 -0.393 -0.662 1.045 2.556 4.512" Properties=species:S:1:pos:R:3 pbc="T T T"
Co 0.522 1.278 2.256
Te 0.775 -0.040 4.495
Co 0.000 0.000 0.000
Te 2.167 -0.536 1.352
```

Output
crystal system: hexagonal
final energy: -20.73 eV/cell
space group: P6_3/mmc

***

# 5
VASP calculation (PBE) on a relaxed Co2Te crystal.

Structure (extended XYZ):
```
6
Lattice="0.000 3.566 3.566 3.566 0.000 3.566 3.566 3.566 0.000" Properties=species:S:1:pos:R:3 pbc="T T T"
Co 4.458 2.675 2.675
Co 2.675 4.458 2.675
Co 2.675 2.675 4.458
Co 4.458 4.458 4.458
Te 0.000 0.000 0.000
Te 1.783 1.783 1.783
```

Output
crystal system: cubic
space group: Fd-3m
offset from the most stable computed form: 0.290 eV per atom

***

# 6
VASP calculation (PBE) on a relaxed CoTe crystal.

Structure (extended XYZ):
```
16
Lattice="6.785 0.000 0.000 0.000 6.785 0.000 0.000 0.000 7.223" Properties=species:S:1:pos:R:3 pbc="T T T"
Te 5.529 2.065 1.899
Co 3.392 3.392 1.806
Co 3.392 0.000 0.000
Te 5.529 2.065 5.324
Co 0.166 1.161 0.000
Te 4.720 5.529 5.511
Co 1.161 6.619 3.612
Co 6.619 5.624 0.000
Te 1.256 4.720 5.324
Co 0.000 3.392 3.612
Te 4.720 5.529 1.713
Te 2.065 1.256 1.713
Co 3.392 3.392 5.417
Co 5.624 0.166 3.612
Te 1.256 4.720 1.899
Te 2.065 1.256 5.511
```

Output
crystal system: tetragonal
final energy: -77.61 eV/cell
space group: P4_2/m

***

# 7
VASP calculation (PBE) on a relaxed Co124Te crystal.

Structure (extended XYZ):
```
125
Lattice="0.000 8.762 8.762 8.762 0.000 8.762 8.762 8.762 0.000" Properties=species:S:1:pos:R:3 pbc="T T T"
Co 0.000 5.255 5.255
Co 1.826 1.826 0.000
Co 7.008 8.762 12.266
Co 5.258 8.762 10.515
Co 3.504 1.754 5.258
Co 8.762 8.762 7.006
Co 14.016 14.016 14.016
Co 8.762 10.515 5.258
Co 10.522 14.008 10.522
Co 15.763 10.522 12.277
Co 7.008 5.258 5.258
Co 7.001 7.001 3.516
Co 10.522 10.522 14.008
Co 3.516 7.001 7.001
Co 1.826 6.935 8.762
Co 8.762 12.266 10.515
Co 7.008 7.008 10.515
Co 12.266 8.762 10.515
Co 10.517 8.762 8.762
Co 6.935 1.826 8.762
Co 3.504 5.258 1.754
Co 7.008 5.258 12.266
Co 5.255 8.762 3.507
Co 15.763 14.008 15.763
Co 8.762 1.826 6.935
Co 12.266 10.515 8.762
Co 10.515 5.258 8.762
Co 5.255 5.255 3.507
Co 8.762 8.762 10.517
Co 10.515 7.008 10.515
Co 8.762 10.515 12.266
Co 10.522 15.763 12.277
Co 10.515 8.762 5.258
Co 0.000 6.935 6.935
Co 5.258 12.266 7.008
Co 7.001 5.246 1.761
Co 15.763 15.763 14.008
Co 3.507 5.255 8.762
Co 5.258 1.754 3.504
Co 1.754 5.258 3.504
Co 6.935 6.935 0.000
Co 10.522 12.277 15.763
Co 1.761 1.761 3.516
Co 8.762 12.266 7.008
Co 7.001 1.761 5.246
Co 1.826 0.000 1.826
Co 5.258 8.762 7.008
Co 14.015 8.762 8.762
Co 8.762 5.255 3.507
Co 6.935 0.000 6.935
Co 7.008 10.515 10.515
Co 1.761 5.246 7.001
Co 7.008 3.504 3.504
Co 8.762 5.258 7.008
Co 5.258 5.258 10.515
Co 3.507 8.762 5.255
Co 7.008 5.258 8.762
Co 3.507 5.255 5.255
Co 12.266 7.008 8.762
Co 14.016 12.269 12.269
Co 3.507 3.507 3.507
Co 10.515 8.762 12.266
Co 5.258 10.515 5.258
Co 14.008 15.763 15.763
Co 1.761 3.516 1.761
Co 8.762 5.258 10.515
Co 5.255 3.507 8.762
Co 3.508 8.762 8.762
Co 7.001 3.516 7.001
Co 12.266 12.266 10.515
Co 10.515 10.515 7.008
Co 12.269 14.016 12.269
Co 1.754 3.504 5.258
Co 5.258 7.008 8.762
Co 12.269 12.269 14.016
Te 0.000 0.000 0.000
Co 5.258 10.515 8.762
Co 8.762 14.015 8.762
Co 14.008 10.522 10.522
Co 8.762 7.008 5.258
Co 5.258 7.008 12.266
Co 0.000 3.507 3.507
Co 3.507 3.507 0.000
Co 8.762 10.517 8.762
Co 15.763 12.277 10.522
Co 3.516 1.761 1.761
Co 0.000 1.826 1.826
Co 8.762 7.008 12.266
Co 3.504 3.504 7.008
Co 5.255 0.000 5.255
Co 7.006 8.762 8.762
Co 12.266 5.258 7.008
Co 5.255 5.255 0.000
Co 5.258 3.504 1.754
Co 7.008 12.266 5.258
Co 8.762 3.508 8.762
Co 5.258 7.008 5.258
Co 10.515 7.008 7.008
Co 5.246 7.001 1.761
Co 8.762 8.762 3.508
Co 8.762 7.006 8.762
Co 10.515 12.266 8.762
Co 7.008 12.266 8.762
Co 8.762 8.762 14.015
Co 6.935 8.762 1.826
Co 10.515 5.258 5.258
Co 7.008 8.762 5.258
Co 12.277 10.522 15.763
Co 10.515 12.266 12.266
Co 12.266 8.762 7.008
Co 5.246 1.761 7.001
Co 12.266 10.515 12.266
Co 3.507 0.000 3.507
Co 12.266 7.008 5.258
Co 5.258 5.258 7.008
Co 7.008 7.008 7.008
Co 8.762 3.507 5.255
Co 1.826 8.762 6.935
Co 7.008 10.515 7.008
Co 1.761 7.001 5.246
Co 3.504 7.008 3.504
Co 8.762 6.935 1.826
Co 5.255 3.507 5.255
Co 10.515 10.515 10.515
Co 12.277 15.763 10.522
```

Output
crystal system: cubic
final energy: -880.98 eV/cell
space group: Fm-3m

***

# 8
VASP calculation (PBE) on a relaxed Co9Te2 crystal.

Structure (extended XYZ):
```
11
Lattice="2.843 0.000 0.000 -1.421 2.462 0.000 0.000 0.000 31.191" Properties=species:S:1:pos:R:3 pbc="T T T"
Co 0.000 0.000 15.595
Co 1.421 0.821 12.001
Co 0.000 0.000 20.986
Co 0.000 1.641 13.799
Co 0.000 1.641 19.190
Te 1.421 0.821 6.329
Te 0.000 1.641 24.862
Co 0.000 1.641 8.383
Co 0.000 0.000 10.204
Co 1.421 0.821 22.807
Co 1.421 0.821 17.391
```

Output
crystal system: trigonal
final energy: -64.60 eV/cell
space group: P-3m1